*a*
Material: Er2LuOs
Method: DFT, GGA-PBE
State: optimized geometry

Cell lengths 3.3817, 3.3817, 32.1079 Å; angles 90.00, 90.00, 120.00 degrees
Space group R-3m (No. 166, hexagonal axes)
Inequivalent atoms, fractional coordinates:
1 Er 0.0000 0.0000 0.1039 [6 per cell]
2 Lu 0.0000 0.0000 0.0000 [3 per cell]
3 Os 0.0000 0.0000 0.5000 [3 per cell]

## Properties
Volume, Å³ per cell: 318.0
Size of the total moment, μB/atom: 0.008


*b*
Material: Er2LuOs
Method: DFT, GGA-PBE
State: optimized geometry

Cell lengths 3.3631, 3.3631, 9.1032 Å; angles 90.00, 90.00, 90.00 degrees
Space group P4/mmm (No. 123)
Inequivalent atoms, fractional coordinates:
1 Er 0.0000 0.0000 0.1814 [2 per cell]
2 Lu 0.5000 0.5000 0.5000 [1 per cell]
3 Os 0.5000 0.5000 0.0000 [1 per cell]

## Properties
Volume, Å³ per cell: 103.0
Size of the total moment, μB/atom: 0.000


It comes down to *b*, which is 0.372 eV/atom more stable than the next structure.


*a*
Material: Er2LuPb
Method: DFT, GGA-PBE
State: optimized geometry

Cell lengths 3.4943, 3.4943, 35.5566 Å; angles 90.00, 90.00, 120.00 degrees
Space group R-3m (No. 166, hexagonal axes)
Inequivalent atoms, fractional coordinates:
1 Er 0.0000 0.0000 0.0889 [6 per cell]
2 Lu 0.0000 0.0000 0.5000 [3 per cell]
3 Pb 0.0000 0.0000 0.0000 [3 per cell]

## Properties
Volume, Å³ per cell: 376.0
Size of the total moment, μB/atom: 0.000


*b*
Material: Er2LuPb
Method: DFT, GGA-PBE
State: optimized geometry

Cell lengths 3.6002, 3.6002, 9.0310 Å; angles 90.00, 90.00, 90.00 degrees
Space group P4/mmm (No. 123)
Inequivalent atoms, fractional coordinates:
1 Er 0.0000 0.0000 0.2396 [2 per cell]
2 Lu 0.5000 0.5000 0.5000 [1 per cell]
3 Pb 0.5000 0.5000 0.0000 [1 per cell]

## Properties
Volume, Å³ per cell: 117.1
Size of the total moment, μB/atom: 0.000


It comes down to *b*, which is 0.252 eV/atom more stable than the next structure.


*a*
Material: ErLuPd2
Method: DFT, GGA-PBE
State: optimized geometry

Cell lengths 4.9175, 4.9175, 3.4142 Å; angles 90.00, 90.00, 90.00 degrees
Space group P4/mmm (No. 123)
Inequivalent atoms, fractional coordinates:
1 Er 0.0000 0.0000 0.0000 [1 per cell]
2 Lu 0.5000 0.5000 0.0000 [1 per cell]
3 Pd 0.0000 0.5000 0.5000 [2 per cell]

## Properties
Volume, Å³ per cell: 82.6
Size of the total moment, μB/atom: 0.000


*b*
Material: ErLuPd2
Method: DFT, GGA-PBE
State: optimized geometry

Cell lengths 4.0296, 4.0296, 19.6539 Å; angles 90.00, 90.00, 120.00 degrees
Space group R-3m (No. 166, hexagonal axes)
Inequivalent atoms, fractional coordinates:
1 Er 0.0000 0.0000 0.0000 [3 per cell]
2 Lu 0.0000 0.0000 0.5000 [3 per cell]
3 Pd 0.0000 0.0000 0.2482 [6 per cell]

## Properties
Volume, Å³ per cell: 276.4
Size of the total moment, μB/atom: 0.000


It comes down to *a*, which is 0.187 eV/atom more stable than the next structure.


*a*
Material: ErLuPd
Method: DFT, GGA-PBE
State: optimized geometry

Cell lengths 4.7579, 4.7579, 3.6568 Å; angles 90.00, 90.00, 120.00 degrees
Space group P3m1 (No. 156)
Inequivalent atoms, fractional coordinates:
1 Er 0.0000 0.0000 0.0000 [1 per cell]
2 Lu 0.3333 0.6667 0.5296 [1 per cell]
3 Pd 0.6667 0.3333 0.2874 [1 per cell]

## Properties
Volume, Å³ per cell: 71.7
Size of the total moment, μB/atom: 0.000


*b*
Material: ErLuPd
Method: DFT, GGA-PBE
State: optimized geometry

Cell lengths 3.4867, 3.4867, 12.0468 Å; angles 90.00, 90.00, 90.00 degrees
Space group I4mm (No. 107)
Inequivalent atoms, fractional coordinates:
1 Er 0.0000 0.0000 0.0000 [2 per cell]
2 Lu 0.0000 0.0000 0.2773 [2 per cell]
3 Pd 0.0000 0.0000 0.6432 [2 per cell]

## Properties
Volume, Å³ per cell: 146.5
Size of the total moment, μB/atom: 0.000


It comes down to *b*, which is 0.169 eV/atom more stable than the next structure.